Below is crystalline AgO2 at its relaxed geometry, with properties calculated at the PBE level.

* relative energy among the computed polymorphs: 0.7505 eV per atom

Cell: 4.5963 4.5963 4.5963 Å, 90.00 90.00 90.00°
Closest atoms and distances in Å follow each position.
Fractional coordinates of all 6 atoms:
Ag 0.2500 0.2500 0.2500  4 O 1.99
Ag 0.7500 0.7500 0.7500  4 O 1.99
O 0.0000 0.0000 0.0000  2 Ag 1.99
O 0.0000 0.5000 0.5000  2 Ag 1.99
O 0.5000 0.0000 0.5000  2 Ag 1.99
O 0.5000 0.5000 0.0000  2 Ag 1.99

Below is crystalline AgO at its relaxed geometry, with properties calculated at the PBE level.

Cell: 7.0149 7.0149 4.3000 Å, 90.00 90.00 120.00°
Closest atoms and distances in Å follow each position.
Fractional coordinates of all 12 atoms:
Ag 0.1040 0.7033 0.2500  4 O 2.18-2.26
Ag 0.2967 0.4007 0.2500  4 O 2.18-2.26
Ag 0.4007 0.1040 0.7500  4 O 2.18-2.26
Ag 0.5993 0.8960 0.2500  4 O 2.18-2.26
Ag 0.7033 0.5993 0.7500  4 O 2.18-2.26
Ag 0.8960 0.2967 0.7500  4 O 2.18-2.26
O 0.0440 0.6666 0.7500  4 Ag 2.18-2.26
O 0.3334 0.3774 0.7500  4 Ag 2.18-2.26
O 0.3774 0.0440 0.2500  4 Ag 2.18-2.26
O 0.6226 0.9560 0.7500  4 Ag 2.18-2.26
O 0.6666 0.6226 0.2500  4 Ag 2.18-2.26
O 0.9560 0.3334 0.2500  4 Ag 2.18-2.26

These records have E_tot values of -3.396; -3.850 eV/atom, in the order they appear.
These records have formation energy from raw total energies values of 860; 55 meV per atom, in the order they appear.